# 1
Compound: Ba2CdHg2
Source: the Alexandria database
Functional: PBE-GGA
Structure: optimized geometry

Output
DOS at the Fermi energy (states/eV per cell): 4.3
E_form (kJ/mol of atoms): -29.9
Energy above the most stable polymorph in this dataset (kJ per mole of atoms): 12.0
Total moment (μB/cell): 0.00

Cell: 4.4553 4.4553 10.1694 Å, 77.35 77.35 90.00°
With the nearest neighbours (Å) after each atom.
Positions (direct):
1 Hg 0.7500 0.2500 0.5000  4 Hg 3.15
2 Hg 0.2500 0.7500 0.5000  4 Hg 3.15
3 Ba 0.3945 0.3945 0.2109  4 Hg 3.57, 4 Cd 3.75
4 Ba 0.6055 0.6055 0.7891  4 Hg 3.57, 4 Cd 3.75
5 Cd 0.0000 0.0000 0.0000  8 Ba 3.75



# 2
Compound: BaCd12Hg7
Source: the Alexandria database
Functional: PBE-GGA
Structure: optimized geometry

Output
DOS at the Fermi energy (states/eV per cell): 7.7
E_form (kJ/mol of atoms): -4.6
Energy above the most stable polymorph in this dataset (kJ per mole of atoms): 0.0
Total moment (μB/cell): 0.00

Cell: 8.0620 9.0379 9.0379 Å, 68.45 72.70 107.30°
With the nearest neighbours (Å) after each atom.
Positions (direct):
1 Cd 0.6685 0.4520 0.2239  5 Cd 2.96-3.27, 4 Hg 2.96-3.23
2 Cd 0.1076 0.7761 0.6759  5 Cd 2.96-3.27, 4 Hg 2.96-3.23
3 Cd 0.7835 0.6759 0.5480  5 Cd 2.96-3.27, 4 Hg 2.96-3.23
4 Cd 0.2165 0.3241 0.4520  5 Cd 2.96-3.27, 4 Hg 2.96-3.23
5 Cd 0.1587 0.6853 0.3583  4 Cd 2.96-3.27, 4 Hg 3.01-3.25
6 Cd 0.8413 0.3147 0.6417  4 Cd 2.96-3.27, 4 Hg 3.01-3.25
7 Cd 0.3315 0.5480 0.7761  5 Cd 2.96-3.27, 4 Hg 2.96-3.23
8 Cd 0.5169 0.3583 0.9564  4 Cd 2.96-3.27, 4 Hg 3.01-3.25
9 Cd 0.8924 0.2239 0.3241  5 Cd 2.96-3.27, 4 Hg 2.96-3.23
10 Cd 0.5266 0.0436 0.3147  4 Cd 2.96-3.27, 4 Hg 3.01-3.25
11 Cd 0.4734 0.9564 0.6853  4 Cd 2.96-3.27, 4 Hg 3.01-3.25
12 Cd 0.4831 0.6417 0.0436  4 Cd 2.96-3.27, 4 Hg 3.01-3.25
13 Hg 0.8995 0.3648 0.9369  7 Cd 2.96-3.25, 1 Hg 3.27
14 Hg 0.5000 0.0000 0.0000  6 Cd 3.07
15 Hg 0.1005 0.6352 0.0631  7 Cd 2.96-3.25, 1 Hg 3.27
16 Hg 0.8364 0.9369 0.6983  7 Cd 2.96-3.25, 1 Hg 3.27
17 Hg 0.4653 0.3017 0.6352  7 Cd 2.96-3.25, 1 Hg 3.27
18 Hg 0.5347 0.6983 0.3648  7 Cd 2.96-3.25, 1 Hg 3.27
19 Hg 0.1636 0.0631 0.3017  7 Cd 2.96-3.25, 1 Hg 3.27
20 Ba 0.0000 0.0000 0.0000  6 Hg 3.51



# 3
Compound: Ba3Cd3Hg8
Source: the Alexandria database
Functional: PBE-GGA
Structure: optimized geometry

Output
DOS at the Fermi energy (states/eV per cell): 8.8
E_form (kJ/mol of atoms): -34.9
Energy above the most stable polymorph in this dataset (kJ per mole of atoms): 0.9
Total moment (μB/cell): 0.00

Cell: 5.3353 9.5945 9.5141 Å, 63.55 73.72 73.86°
With the nearest neighbours (Å) after each atom.
Positions (direct):
1 Hg 0.4980 0.3229 0.6810  3 Cd 2.98-3.22, 1 Hg 3.07
2 Hg 0.3439 0.0201 0.2921  1 Cd 2.89, 4 Hg 3.07-3.22
3 Hg 0.8574 0.4322 0.8531  4 Cd 3.02-3.07
4 Hg 0.1397 0.1497 0.5710  1 Cd 3.03, 3 Hg 3.09-3.22
5 Hg 0.8603 0.8503 0.4290  1 Cd 3.03, 3 Hg 3.09-3.22
6 Hg 0.1426 0.5678 0.1469  4 Cd 3.02-3.07
7 Hg 0.5020 0.6771 0.3190  3 Cd 2.98-3.22, 1 Hg 3.07
8 Hg 0.6561 0.9799 0.7079  1 Cd 2.89, 4 Hg 3.07-3.22
9 Ba 0.7038 0.2892 0.3031  11 Hg 3.50-3.78, 3 Cd 3.65-3.72
10 Ba 0.2962 0.7108 0.6969  11 Hg 3.50-3.78, 3 Cd 3.65-3.72
11 Ba 0.0000 0.0000 0.0000  8 Hg 3.60-3.83, 4 Cd 3.96
12 Cd 0.3382 0.3126 0.0110  5 Hg 2.89-3.07
13 Cd 0.0000 0.5000 0.5000  8 Hg 3.03-3.22
14 Cd 0.6618 0.6874 0.9890  5 Hg 2.89-3.07